No. 1
A relaxed CdTe2Pt crystal, computed with PBE-GGA.

symmetry	No. 44
spin magnetization	0.00	μB per cell
VASP energy	-3.32	eV/atom
density	9.27	g/cm3

Structure (POSCAR):
```
CdTe2Pt
1.0
-6.822 1.495 1.749
-5.183 -3.419 3.644
6.793 2.343 -0.444
Te Pt Cd
2 1 1
direct
0.061 0.061 0.000 Te
0.775 0.275 0.500 Te
0.215 0.715 0.500 Pt
0.449 0.449 0.000 Cd
```


No. 2
A relaxed Cd2TePt crystal, computed with PBE-GGA.

symmetry	No. 216
spin magnetization	0.00	μB per cell
VASP energy	-2.67	eV/atom
density	10.53	g/cm3

Structure (POSCAR):
```
Cd2TePt
1.0
4.960 0.000 0.000
2.480 4.296 0.000
2.480 1.432 4.050
Te Pt Cd
1 1 2
direct
0.750 0.750 0.750 Te
0.500 0.500 0.500 Pt
0.000 0.000 0.000 Cd
0.250 0.250 0.250 Cd
```


No. 3
A relaxed Cd2TePt crystal, computed with PBE-GGA.

symmetry	No. 44
spin magnetization	0.00	μB per cell
VASP energy	-2.92	eV/atom
density	9.56	g/cm3

Structure (POSCAR):
```
Cd2TePt
1.0
7.087 0.005 0.034
4.854 5.164 -0.034
-5.560 -3.533 2.614
Te Pt Cd
1 1 2
direct
0.315 0.815 0.500 Te
0.496 0.496 0.000 Pt
0.011 0.011 0.000 Cd
0.678 0.178 0.500 Cd
```


No. 4
A relaxed CdTePt2 crystal, computed with PBE-GGA.

symmetry	No. 44
polymorph energy (0 for the lowest one)	0.027	eV per atom
spin magnetization	0.00	μB per cell
VASP energy	-4.13	eV/atom
density	12.94	g/cm3

Structure (POSCAR):
```
CdTePt2
1.0
5.978 0.103 0.017
3.267 5.008 -0.017
-4.327 -3.090 2.735
Te Pt Cd
1 2 1
direct
0.458 0.458 0.000 Te
0.053 0.053 0.000 Pt
0.262 0.762 0.500 Pt
0.728 0.228 0.500 Cd
```


No. 5
A relaxed CdTe2Pt crystal, computed with PBE-GGA.

symmetry	No. 123
spin magnetization	0.00	μB per cell
VASP energy	-3.12	eV/atom
density	10.12	g/cm3

Structure (POSCAR):
```
CdTe2Pt
1.0
5.418 0.012 0.000
-0.011 5.418 0.000
0.000 0.000 3.144
Te Pt Cd
2 1 1
direct
0.000 0.000 0.000 Te
0.500 0.500 0.000 Te
0.000 0.500 0.500 Pt
0.500 0.000 0.500 Cd
```


No. 6
A relaxed CdTe4Pt crystal, computed with PBE-GGA.

symmetry	No. 216
spin magnetization	0.00	μB per cell
VASP energy	-2.53	eV/atom
density	7.93	g/cm3

Structure (POSCAR):
```
CdTe4Pt
1.0
-3.965 -0.340 4.796
-2.067 5.218 2.710
-5.936 1.752 -0.734
Cd Te Pt
1 4 1
direct
0.750 0.750 0.750 Cd
0.878 0.374 0.374 Te
0.374 0.374 0.878 Te
0.374 0.878 0.374 Te
0.374 0.374 0.374 Te
0.000 0.000 0.000 Pt
```


No. 7
A relaxed Cd2TePt crystal, computed with PBE-GGA.

symmetry	No. 10
spin magnetization	0.00	μB per cell
VASP energy	-2.90	eV/atom
density	9.89	g/cm3

Structure (POSCAR):
```
Cd2TePt
1.0
3.633 0.000 0.000
0.000 3.068 -0.030
0.000 0.071 8.250
Te Pt Cd
1 1 2
direct
0.500 0.750 0.750 Te
0.500 0.250 0.250 Pt
0.000 0.750 0.056 Cd
0.000 0.750 0.444 Cd
```


No. 8
A relaxed CdTePt2 crystal, computed with PBE-GGA.

symmetry	No. 99
polymorph energy (0 for the lowest one)	0.000	eV per atom
spin magnetization	0.00	μB per cell
VASP energy	-4.16	eV/atom
density	13.20	g/cm3

Structure (POSCAR):
```
CdTePt2
1.0
3.741 0.000 0.000
0.000 3.741 0.000
0.000 0.000 5.665
Te Pt Cd
1 2 1
direct
0.000 0.000 0.437 Te
0.000 0.000 0.970 Pt
0.500 0.500 0.291 Pt
0.500 0.500 0.801 Cd
```


No. 9
A relaxed Cd2TePt crystal, computed with PBE-GGA.

symmetry	No. 99
spin magnetization	0.00	μB per cell
VASP energy	-2.73	eV/atom
density	10.23	g/cm3

Structure (POSCAR):
```
Cd2TePt
1.0
-0.467 3.076 -0.809
-2.320 0.228 2.213
5.819 2.422 5.851
Te Pt Cd
1 1 2
direct
0.500 0.500 0.702 Te
0.000 0.000 0.493 Pt
0.000 0.000 0.023 Cd
0.500 0.500 0.282 Cd
```


No. 10
A relaxed Cd2TePt crystal, computed with PBE-GGA.

symmetry	No. 12
spin magnetization	0.00	μB per cell
VASP energy	-2.79	eV/atom
density	9.74	g/cm3

Structure (POSCAR):
```
Cd2TePt
1.0
6.896 0.025 0.203
6.181 3.058 0.203
1.379 0.325 4.501
Te Pt Cd
1 1 2
direct
0.250 0.250 0.250 Te
0.750 0.750 0.750 Pt
0.054 0.054 0.948 Cd
0.446 0.446 0.552 Cd
```


No. 11
A relaxed CdTe2Pt crystal, computed with PBE-GGA.

symmetry	No. 65
spin magnetization	0.00	μB per cell
VASP energy	-3.53	eV/atom
density	8.94	g/cm3

Structure (POSCAR):
```
CdTe2Pt
1.0
4.026 0.000 0.000
0.000 5.284 -0.038
0.000 1.972 4.899
Te Pt Cd
2 1 1
direct
0.000 0.953 0.953 Te
0.000 0.547 0.547 Te
0.500 0.750 0.750 Pt
0.500 0.250 0.250 Cd
```


No. 12
A relaxed CdTe2Pt crystal, computed with PBE-GGA.

symmetry	No. 65
spin magnetization	0.00	μB per cell
VASP energy	-3.26	eV/atom
density	8.35	g/cm3

Structure (POSCAR):
```
CdTe2Pt
1.0
3.943 -0.082 0.000
-1.930 3.440 0.000
0.000 0.000 8.344
Te Pt Cd
2 1 1
direct
0.000 0.000 0.962 Te
0.000 0.000 0.538 Te
0.500 0.500 0.750 Pt
0.500 0.500 0.250 Cd
```


No. 13
A relaxed Cd2TePt crystal, computed with PBE-GGA.

symmetry	No. 119
spin magnetization	0.00	μB per cell
VASP energy	-2.72	eV/atom
density	10.63	g/cm3

Structure (POSCAR):
```
Cd2TePt
1.0
-0.290 5.188 -1.581
-4.786 1.006 -2.364
1.343 -2.326 4.721
Te Pt Cd
1 1 2
direct
0.750 0.250 0.500 Te
0.500 0.500 0.000 Pt
0.000 0.000 0.000 Cd
0.250 0.750 0.500 Cd
```


No. 14
A relaxed TiCd2TePt crystal, computed with PBE-GGA.

symmetry	No. 123
spin magnetization	0.00	μB per cell
VASP energy	-2.79	eV/atom
density	6.89	g/cm3

Structure (POSCAR):
```
TiCd2TePt
1.0
-4.584 -2.551 1.034
1.296 -3.633 -3.215
2.381 -2.668 3.975
Te Ti Pt Cd
1 1 1 2
direct
0.000 0.000 0.000 Te
0.000 0.500 0.000 Ti
0.500 0.500 0.500 Pt
0.000 0.000 0.500 Cd
0.500 0.000 0.000 Cd
```


No. 15
A relaxed ThCdPt crystal, computed with PBE-GGA.

symmetry	No. 216
energy of formation	-2.13	eV/f.u.
spin magnetization	0.00	μB per cell
VASP energy	-5.50	eV/atom
density	11.33	g/cm3

Structure (POSCAR):
```
ThCdPt
1.0
-0.987 -2.664 3.892
3.500 -2.526 2.141
1.645 1.349 4.323
Pt Th Cd
1 1 1
direct
0.250 0.250 0.250 Pt
0.500 0.500 0.500 Th
0.000 0.000 0.000 Cd
```


Result set for V: 25.2, 21.6, 23.8, 20.2, 23.1, 28.5, 23.0, 19.8, 22.2, 23.3, 26.1, 28.0, 21.4, 28.7, 26.4 Å³ per atom, one per record in the order listed.